No. 1
The following is a PBE-GGA calculation of a geometry-optimized K2SiSbSe structure, from Alexandria via LeMat-Bulk.

E_form (uncorrected) ... 0.0243 eV per atom
Symmetry ... No. 123

Cell lengths 6.195, 6.195, 4.828 Å; angles 90.00, 90.00, 90.00 degrees
Atoms (fractional coordinates):
K1 0.000 0.500 0.000
K2 0.500 0.000 0.000
Si1 0.000 0.000 0.500
Sb1 0.500 0.500 0.500
Se1 0.000 0.000 0.000

=====

No. 2
The following is a PBE-GGA calculation of a geometry-optimized LaCu4 structure, from Alexandria via LeMat-Bulk.

Energy of formation ... -0.10 eV per atom
Symmetry ... No. 217

Cell lengths 7.656, 7.656, 7.656 Å; angles 109.47, 109.47, 109.47 degrees
Atoms (fractional coordinates):
La1 0.000 0.000 0.432
La2 0.000 0.432 0.000
La3 0.432 0.000 0.000
La4 0.568 0.568 0.568
Cu1 0.000 0.000 0.801
Cu2 0.000 0.360 0.360
Cu3 0.000 0.640 0.640
Cu4 0.000 0.801 0.000
Cu5 0.199 0.199 0.199
Cu6 0.250 0.500 0.750
Cu7 0.250 0.750 0.500
Cu8 0.360 0.000 0.360
Cu9 0.360 0.360 0.000
Cu10 0.500 0.250 0.750
Cu11 0.500 0.750 0.250
Cu12 0.640 0.000 0.640
Cu13 0.640 0.640 0.000
Cu14 0.750 0.250 0.500
Cu15 0.750 0.500 0.250
Cu16 0.801 0.000 0.000

=====

No. 3
The following is a PBE-GGA calculation of a geometry-optimized MgTa2Be structure, from Alexandria via LeMat-Bulk.

Energy of formation ... 0.13 eV per atom
Polymorph energy (0 for the lowest one) ... 0 meV/atom
Symmetry ... No. 65

Cell lengths 2.812, 2.812, 8.248 Å; angles 90.00, 90.00, 90.36 degrees
Atoms (fractional coordinates):
Mg1 0.000 0.000 0.000
Ta1 0.500 0.500 0.296
Ta2 0.500 0.500 0.704
Be1 0.000 0.000 0.500

=====

No. 4
The following is a PBE-GGA calculation of a geometry-optimized NdSiBO5 structure, from Alexandria via LeMat-Bulk.

E_form (uncorrected) ... -2.9653 eV per atom
Symmetry ... No. 144

Cell lengths 6.885, 6.885, 6.670 Å; angles 90.00, 90.00, 120.00 degrees
Atoms (fractional coordinates):
Nd1 0.000 0.417 0.000
Nd2 0.417 0.000 0.667
Nd3 0.583 0.583 0.333
Si1 0.001 0.418 0.498
Si2 0.417 0.999 0.165
Si3 0.582 0.583 0.831
B1 0.116 0.100 0.364
B2 0.900 0.017 0.698
B3 0.983 0.884 0.031
O1 0.069 0.015 0.568
O2 0.139 0.331 0.349
O3 0.148 0.606 0.665
O4 0.192 0.861 0.015
O5 0.352 0.156 0.310
O6 0.394 0.542 0.999
O7 0.458 0.852 0.332
O8 0.527 0.390 0.667
O9 0.610 0.136 0.000
O10 0.669 0.808 0.682
O11 0.804 0.648 0.977
O12 0.844 0.196 0.644
O13 0.864 0.473 0.334
O14 0.946 0.931 0.235
O15 0.985 0.054 0.901

=====

No. 5
The following is a PBE-GGA calculation of a geometry-optimized Mn4Nb3V2 structure, from Alexandria via LeMat-Bulk.

Energy of formation ... 0.11 eV per atom
Symmetry ... No. 12

Cell lengths 4.951, 4.951, 7.664 Å; angles 111.23, 111.23, 48.79 degrees
Atoms (fractional coordinates):
Mn1 0.042 0.042 0.371
Mn2 0.244 0.244 0.927
Mn3 0.756 0.756 0.073
Mn4 0.958 0.958 0.629
Nb1 0.000 0.000 0.000
Nb2 0.358 0.358 0.313
Nb3 0.642 0.642 0.687
V1 0.318 0.318 0.658
V2 0.682 0.682 0.342

=====

No. 6
The following is a PBE-GGA calculation of a geometry-optimized Pm3TlB4O12 structure, from Alexandria via LeMat-Bulk.

E_form (uncorrected) ... -2.6155 eV per atom
Symmetry ... No. 155

Cell lengths 6.638, 6.638, 6.638 Å; angles 102.12, 102.12, 102.12 degrees
Atoms (fractional coordinates):
Pm1 0.000 0.525 0.475
Pm2 0.475 0.000 0.525
Pm3 0.525 0.475 0.000
Tl1 0.000 0.000 0.000
B1 0.022 0.500 0.978
B2 0.500 0.500 0.500
B3 0.500 0.978 0.022
B4 0.978 0.022 0.500
O1 0.027 0.638 0.845
O2 0.110 0.890 0.500
O3 0.155 0.362 0.973
O4 0.362 0.973 0.155
O5 0.367 0.633 0.500
O6 0.500 0.110 0.890
O7 0.500 0.367 0.633
O8 0.633 0.500 0.367
O9 0.638 0.845 0.027
O10 0.845 0.027 0.638
O11 0.890 0.500 0.110
O12 0.973 0.155 0.362